Record 1
Compound: Cd2RuCl
Source: Alexandria via LeMat-Bulk
Functional: PBE
Structure: optimized geometry

Output
The energy above the most stable polymorph in this dataset comes out at 172.5 kJ/mol of formula units. As for the formation energy from raw total energies: 466 meV per atom. The value obtained for the energy is -2.772 eV per atom.

Unit cell a=3.0628 b=4.8381 c=5.1970 alpha=90.00 beta=90.00 gamma=90.00
Closest atoms and distances in Å follow each position.
Element x y z (fractional)
1 Cd 0.0000 0.0000 0.0000  6 Cd 2.86-3.06, 4 Cl 3.02
2 Cd 0.5000 0.5000 0.0000  6 Cd 2.86-3.06, 4 Ru 3.02
3 Ru 0.0000 0.5000 0.5000  4 Cl 2.86, 4 Cd 3.02, 2 Ru 3.06
4 Cl 0.5000 0.0000 0.5000  4 Ru 2.86, 4 Cd 3.02, 2 Cl 3.06

***

Record 2
Compound: HgIr2W
Source: Alexandria via LeMat-Bulk
Functional: PBE
Structure: optimized geometry

Output
The value obtained for the energy is -7.423 eV per atom. Its formation energy from the elements is 0.32 eV per atom.

Unit cell a=4.8556 b=4.8556 c=5.0334 alpha=99.34 beta=99.34 gamma=33.87
Closest atoms and distances in Å follow each position.
Element x y z (fractional)
1 Hg 0.0000 0.0000 0.0000  2 Hg 2.83, 6 Ir 2.84-2.92, 4 W 2.89
2 Ir 0.2424 0.2424 0.7252  4 Ir 2.70-2.83, 3 W 2.74-2.82, 3 Hg 2.84-2.92
3 Ir 0.7576 0.7576 0.2748  4 Ir 2.70-2.83, 3 W 2.74-2.82, 3 Hg 2.84-2.92
4 W 0.5000 0.5000 0.5000  6 Ir 2.74-2.82, 2 W 2.83, 4 Hg 2.89

***

Record 3
Compound: Ti3NbCo2
Source: Alexandria via LeMat-Bulk
Functional: PBE
Structure: optimized geometry

Output
The energy above the most stable polymorph in this dataset comes out at 196.7 kJ/mol of formula units. The value obtained for the energy is -7.908 eV per atom. Its formation energy from the elements is 0.09 eV per atom.

Unit cell a=7.1110 b=7.1110 c=7.1110 alpha=130.84 beta=71.58 gamma=131.45
Closest atoms and distances in Å follow each position.
Element x y z (fractional)
1 Ti 0.0125 0.7500 0.2625  4 Co 2.37-2.54
2 Ti 0.2500 0.2500 0.0000  4 Co 2.49
3 Ti 0.4875 0.7500 0.7375  4 Co 2.37-2.54
4 Ti 0.5125 0.2500 0.2625  4 Co 2.37-2.54
5 Ti 0.7500 0.7500 0.0000  4 Co 2.49
6 Ti 0.9875 0.2500 0.7375  4 Co 2.37-2.54
7 Nb 0.0000 0.5000 0.5000  2 Co 2.37
8 Nb 0.5000 0.0000 0.5000  2 Co 2.37
9 Co 0.1393 0.2047 0.3441  6 Ti 2.37-2.54, 1 Nb 2.37
10 Co 0.3607 0.7047 0.0654  6 Ti 2.37-2.54, 1 Nb 2.37
11 Co 0.6393 0.2953 0.9346  6 Ti 2.37-2.54, 1 Nb 2.37
12 Co 0.8607 0.7953 0.6559  6 Ti 2.37-2.54, 1 Nb 2.37

***

Which of these has the lowest energy?
Ti3NbCo2